(1)
Rb2CeCuBr6: optimized geometry, PBE.

Values from the calculation:
For the total energy, the calculation gives -3.660 eV per atom.

abc: 7.8451 7.8451 6.6950
angles: 90.00 90.00 120.00
Space group P-3m1 (No. 164)
Unique sites:
Rb: 0.3333 0.6667 0.2892 [2 per cell]
Ce: 0.0000 0.0000 0.0000 [1 per cell]
Cu: 0.0000 0.0000 0.5000 [1 per cell]
Br: 0.1672 0.3344 0.7322 [6 per cell]

(2)
Pm3Tm3Mg: optimized geometry, PBE.

Values from the calculation:
Its formation energy is 12.8 meV per atom.

abc: 9.4953 9.4953 5.6028
angles: 90.00 90.00 120.00
Space group P6_3/m (No. 176)
Unique sites:
Pm: 0.1021 0.4719 0.2500 [6 per cell]
Tm: 0.0525 0.2337 0.7500 [6 per cell]
Mg: 0.3333 0.6667 0.7500 [2 per cell]

(3)
TaWC2: optimized geometry, PBE.

Values from the calculation:
Its formation energy is 239.1 meV per atom.

abc: 4.760 4.760 9.573
angles: 90.00 90.00 90.00
Space group I-42d (No. 122)
Unique sites:
Ta: 0.000 0.000 0.000 [4 per cell]
W: 0.000 0.000 0.500 [4 per cell]
C: 0.239 0.250 0.625 [8 per cell]

(4)
TiNb4Al: optimized geometry, PBE.

Values from the calculation:
Its formation energy is -104.7 meV per atom.

abc: 5.614 4.638 8.608
angles: 90.00 108.95 90.00
Space group P2_1/m (No. 11)
Unique sites:
Ti: 0.125 0.250 0.246 [2 per cell]
Nb: 0.023 0.750 0.413 [2 per cell]
Nb: 0.224 0.750 0.088 [2 per cell]
Nb: 0.280 0.250 0.924 [2 per cell]
Nb: 0.476 0.250 0.579 [2 per cell]
Al: 0.369 0.750 0.746 [2 per cell]

(5)
Re2SeN2: optimized geometry, PBE.

Values from the calculation:
For the total energy, the calculation gives -8.360 eV per atom.

abc: 3.903 3.903 8.778
angles: 90.00 90.00 90.00
Space group I4/mmm (No. 139)
Unique sites:
Re: 0.000 0.500 0.250 [4 per cell]
Se: 0.000 0.000 0.000 [2 per cell]
N: 0.000 0.000 0.334 [4 per cell]

(6)
HfCo4Os: optimized geometry, PBE.

Values from the calculation:
Its formation energy is -159.6 meV per atom.

abc: 6.751 6.751 6.751
angles: 90.00 90.00 90.00
Space group F-43m (No. 216)
Unique sites:
Hf: 0.000 0.000 0.000 [4 per cell]
Co: 0.125 0.125 0.625 [16 per cell]
Os: 0.250 0.250 0.250 [4 per cell]

(7)
PmNdTl4: optimized geometry, PBE.

Values from the calculation:
Its formation energy is -143.2 meV per atom.

abc: 8.851 8.851 8.851
angles: 90.00 90.00 90.00
Space group F-43m (No. 216)
Unique sites:
Pm: 0.000 0.000 0.000 [4 per cell]
Nd: 0.250 0.250 0.250 [4 per cell]
Tl: 0.125 0.125 0.625 [16 per cell]

(8)
Zr2TaHg: optimized geometry, PBE.

Values from the calculation:
Its formation energy is 31.1 meV per atom.

abc: 4.532 4.532 4.047
angles: 90.00 90.00 90.00
Space group P4/mmm (No. 123)
Unique sites:
Zr: 0.000 0.500 0.000 [2 per cell]
Ta: 0.000 0.000 0.500 [1 per cell]
Hg: 0.500 0.500 0.500 [1 per cell]

(9)
Tl2ReOs: optimized geometry, PBE.

Values from the calculation:
Its formation energy is 1361.0 meV per atom.

abc: 6.653 6.653 6.653
angles: 90.00 90.00 90.00
Space group Fm-3m (No. 225)
Unique sites:
Tl: 0.250 0.250 0.250 [8 per cell]
Re: 0.000 0.000 0.000 [4 per cell]
Os: 0.000 0.000 0.500 [4 per cell]

(10)
Mg3VPb: optimized geometry, PBE.

Values from the calculation:
Its formation energy is 744.4 meV per atom.

abc: 5.233 5.233 5.233
angles: 90.00 90.00 90.00
Space group Pm-3m (No. 221)
Unique sites:
Mg: 0.000 0.000 0.500 [3 per cell]
V: 0.000 0.000 0.000 [1 per cell]
Pb: 0.500 0.500 0.500 [1 per cell]

(11)
Dy3Cd2In4: optimized geometry, PBE.

Values from the calculation:
Its formation energy is -396.2 meV per atom.

abc: 11.162 4.925 9.295
angles: 90.00 117.85 90.00
Space group C2/m (No. 12)
Unique sites:
Dy: 0.000 0.000 0.000 [2 per cell]
Dy: 0.165 0.500 0.667 [4 per cell]
Cd: 0.114 0.500 0.282 [4 per cell]
In: 0.053 0.000 0.384 [4 per cell]
In: 0.222 0.500 0.061 [4 per cell]

(12)
BaLaAu: optimized geometry, PBE.

Values from the calculation:
Its formation energy is -334.1 meV per atom.

abc: 5.1146 5.1146 4.8884
angles: 90.00 90.00 120.00
Space group P3m1 (No. 156)
Unique sites:
Ba: 0.0000 0.0000 0.0000 [1 per cell]
La: 0.6667 0.3333 0.4762 [1 per cell]
Au: 0.3333 0.6667 0.5870 [1 per cell]

In the order shown, the computed size of the total moment values come out to 1.00 0.51 0.00 0.00 0.00 6.16 0.00 0.00 1.84 3.99 0.00 0.00 μB/f.u..